[1]
Entry from the Alexandria database: DyInCu10 after structural relaxation (PBE).

CIF file:
```
data_DyInCu10
_space_group_name_H-M_alt 'P 1'
_space_group_IT_number 1
_space_group_name_Hall 'P 1'
_cell_length_a 4.100
_cell_length_b 4.977
_cell_length_c 8.639
_cell_angle_alpha 90.00
_cell_angle_beta 90.00
_cell_angle_gamma 90.00
loop_
_atom_site_label
_atom_site_type_symbol
_atom_site_fract_x
_atom_site_fract_y
_atom_site_fract_z
Dy1 Dy 0.000 0.000 0.000
In1 In 0.000 0.500 0.500
Cu1 Cu 0.000 0.000 0.341
Cu2 Cu 0.000 0.500 0.824
Cu3 Cu 0.000 0.500 0.176
Cu4 Cu 0.000 0.000 0.659
Cu5 Cu 0.500 0.000 0.500
Cu6 Cu 0.500 0.500 0.000
Cu7 Cu 0.500 0.247 0.248
Cu8 Cu 0.500 0.753 0.752
Cu9 Cu 0.500 0.753 0.248
Cu10 Cu 0.500 0.247 0.752
```

## Properties
Symmetry   No. 47

***

[2]
Entry from the Alexandria database: Dy5InCu2 after structural relaxation (PBE).

CIF file:
```
data_Dy5InCu2
_space_group_name_H-M_alt 'P 1'
_space_group_IT_number 1
_space_group_name_Hall 'P 1'
_cell_length_a 7.898
_cell_length_b 7.898
_cell_length_c 8.589
_cell_angle_alpha 117.37
_cell_angle_beta 117.37
_cell_angle_gamma 90.00
loop_
_atom_site_label
_atom_site_type_symbol
_atom_site_fract_x
_atom_site_fract_y
_atom_site_fract_z
Dy1 Dy 0.514 0.702 0.716
Dy2 Dy 0.798 0.986 0.284
Dy3 Dy 0.000 0.000 0.000
Dy4 Dy 0.500 0.500 0.000
Dy5 Dy 0.202 0.014 0.716
Dy6 Dy 0.702 0.202 0.716
Dy7 Dy 0.014 0.514 0.716
Dy8 Dy 0.298 0.798 0.284
Dy9 Dy 0.986 0.486 0.284
Dy10 Dy 0.486 0.298 0.284
In1 In 0.750 0.750 0.500
In2 In 0.250 0.250 0.500
Cu1 Cu 0.129 0.371 0.000
Cu2 Cu 0.629 0.129 0.000
Cu3 Cu 0.371 0.871 0.000
Cu4 Cu 0.871 0.629 0.000
```

## Properties
Symmetry   No. 140

***

[3]
Entry from the Alexandria database: Dy2In5Cu3 after structural relaxation (PBE).

CIF file:
```
data_Dy2In5Cu3
_space_group_name_H-M_alt 'P 1'
_space_group_IT_number 1
_space_group_name_Hall 'P 1'
_cell_length_a 4.440
_cell_length_b 7.278
_cell_length_c 13.266
_cell_angle_alpha 90.00
_cell_angle_beta 99.63
_cell_angle_gamma 90.00
loop_
_atom_site_label
_atom_site_type_symbol
_atom_site_fract_x
_atom_site_fract_y
_atom_site_fract_z
Dy1 Dy 0.478 0.764 0.956
Dy2 Dy 0.174 0.715 0.349
Dy3 Dy 0.826 0.215 0.651
Dy4 Dy 0.522 0.264 0.044
In1 In 0.403 0.400 0.806
In2 In 0.291 0.508 0.583
In3 In 0.709 0.008 0.417
In4 In 0.122 0.248 0.243
In5 In 0.294 0.918 0.588
In6 In 0.948 0.095 0.895
In7 In 0.706 0.418 0.412
In8 In 0.878 0.748 0.757
In9 In 0.052 0.595 0.105
In10 In 0.597 0.900 0.194
Cu1 Cu 0.773 0.711 0.546
Cu2 Cu 0.609 0.522 0.218
Cu3 Cu 0.045 0.984 0.090
Cu4 Cu 0.227 0.211 0.454
Cu5 Cu 0.955 0.484 0.910
Cu6 Cu 0.391 0.022 0.782
```

## Properties
Symmetry   No. 36

***

[4]
Entry from the Alexandria database: Dy12InCu6 after structural relaxation (PBE).

CIF file:
```
data_Dy12InCu6
_space_group_name_H-M_alt 'P 1'
_space_group_IT_number 1
_space_group_name_Hall 'P 1'
_cell_length_a 8.538
_cell_length_b 8.538
_cell_length_c 8.538
_cell_angle_alpha 109.47
_cell_angle_beta 109.47
_cell_angle_gamma 109.47
loop_
_atom_site_label
_atom_site_type_symbol
_atom_site_fract_x
_atom_site_fract_y
_atom_site_fract_z
Dy1 Dy 0.297 0.109 0.811
Dy2 Dy 0.297 0.486 0.189
Dy3 Dy 0.703 0.514 0.811
Dy4 Dy 0.703 0.891 0.189
Dy5 Dy 0.109 0.811 0.297
Dy6 Dy 0.486 0.189 0.297
Dy7 Dy 0.514 0.811 0.703
Dy8 Dy 0.891 0.189 0.703
Dy9 Dy 0.811 0.297 0.109
Dy10 Dy 0.189 0.297 0.486
Dy11 Dy 0.811 0.703 0.514
Dy12 Dy 0.189 0.703 0.891
In1 In 0.000 0.000 0.000
Cu1 Cu 0.376 0.500 0.876
Cu2 Cu 0.624 0.500 0.124
Cu3 Cu 0.500 0.876 0.376
Cu4 Cu 0.500 0.124 0.624
Cu5 Cu 0.876 0.376 0.500
Cu6 Cu 0.124 0.624 0.500
```

## Properties
Symmetry   No. 204

***

[5]
Entry from the Alexandria database: DyIn5Cu after structural relaxation (PBE).

CIF file:
```
data_DyIn5Cu
_space_group_name_H-M_alt 'P 1'
_space_group_IT_number 1
_space_group_name_Hall 'P 1'
_cell_length_a 4.694
_cell_length_b 4.694
_cell_length_c 7.570
_cell_angle_alpha 90.00
_cell_angle_beta 90.00
_cell_angle_gamma 90.00
loop_
_atom_site_label
_atom_site_type_symbol
_atom_site_fract_x
_atom_site_fract_y
_atom_site_fract_z
Dy1 Dy 0.000 0.000 0.000
In1 In 0.500 0.000 0.701
In2 In 0.000 0.500 0.701
In3 In 0.500 0.500 0.000
In4 In 0.000 0.500 0.299
In5 In 0.500 0.000 0.299
Cu1 Cu 0.000 0.000 0.500
```

## Properties
Symmetry   No. 123

***

[6]
Entry from the Alexandria database: Dy8InCu2 after structural relaxation (PBE).

CIF file:
```
data_Dy8InCu2
_space_group_name_H-M_alt 'P 1'
_space_group_IT_number 1
_space_group_name_Hall 'P 1'
_cell_length_a 5.350
_cell_length_b 8.072
_cell_length_c 8.072
_cell_angle_alpha 114.78
_cell_angle_beta 98.77
_cell_angle_gamma 98.77
loop_
_atom_site_label
_atom_site_type_symbol
_atom_site_fract_x
_atom_site_fract_y
_atom_site_fract_z
Dy1 Dy 0.914 0.919 0.670
Dy2 Dy 0.914 0.670 0.919
Dy3 Dy 0.305 0.606 0.606
Dy4 Dy 0.500 0.759 0.241
Dy5 Dy 0.500 0.241 0.759
Dy6 Dy 0.695 0.394 0.394
Dy7 Dy 0.086 0.330 0.081
Dy8 Dy 0.086 0.081 0.330
In1 In 0.500 0.000 0.000
Cu1 Cu 0.000 0.307 0.693
Cu2 Cu 0.000 0.693 0.307
```

## Properties
E above lowest polymorph   0.083 eV per atom
Symmetry   No. 12

***

no.,electronic total energy (eV/atom),calculated formation energy (meV per atom)
1,-4.10,-75
2,-4.48,-237
3,-3.80,-283
4,-4.55,-207
5,-3.41,-209
6,-4.41,-74